18
Lattice="4.751 0.000 0.000 0.000 4.751 0.000 0.000 0.000 10.372" Properties=species:S:1:pos:R:3 comment="PaHWO6, relaxed, DFT GGA+U" energy_ev_per_atom=-7.79 space_group="P4_2nm (102)" m_tot_mub_per_cell=0.000 pbc="T T T"
Pa 0.000 0.000 0.000
Pa 2.375 2.375 5.186
H 0.000 0.000 4.882
H 2.375 2.375 10.068
W 0.000 0.000 7.122
W 2.375 2.375 1.935
O 0.850 0.850 5.264
O 0.902 0.902 8.449
O 1.054 1.054 1.553
O 1.321 3.430 6.739
O 1.473 3.277 3.263
O 1.526 3.225 0.078
O 3.225 1.526 0.078
O 3.277 1.473 3.263
O 3.430 1.321 6.739
O 3.696 3.696 1.553
O 3.849 3.849 8.449
O 3.901 3.901 5.264